No. 1
# Ga2HPdI GGA-PBEsol optimized geometry
data_Ga2HPdI
_chemical_formula_sum 'Ga2 H1 Pd1 I1'
_space_group_name_H-M_alt 'P 1'
_space_group_IT_number 1
_cell_length_a 4.786
_cell_length_b 4.786
_cell_length_c 5.478
_cell_angle_alpha 90.00
_cell_angle_beta 90.00
_cell_angle_gamma 90.00
loop_
_space_group_symop_operation_xyz
'x,y,z'
loop_
_atom_site_label
_atom_site_fract_x
_atom_site_fract_y
_atom_site_fract_z
Ga1 0.000 0.500 0.000
Ga2 0.500 0.000 0.000
H1 0.000 0.000 0.500
Pd1 0.500 0.500 0.000
I1 0.500 0.500 0.500
# **E**: -3.1550 eV per atom
# **E above lowest polymorph**: 161 meV/atom
# **Size of the total moment**: 0.62 μB/cell
# **Symmetry**: P4/mmm (123)


No. 2
# Ga2HPdI GGA-PBEsol optimized geometry
data_Ga2HPdI
_chemical_formula_sum 'Ga2 H1 Pd1 I1'
_space_group_name_H-M_alt 'P 1'
_space_group_IT_number 1
_cell_length_a 3.979
_cell_length_b 3.979
_cell_length_c 5.468
_cell_angle_alpha 90.00
_cell_angle_beta 90.00
_cell_angle_gamma 90.00
loop_
_space_group_symop_operation_xyz
'x,y,z'
loop_
_atom_site_label
_atom_site_fract_x
_atom_site_fract_y
_atom_site_fract_z
Ga1 0.000 0.500 0.000
Ga2 0.500 0.000 0.000
H1 0.000 0.000 0.000
Pd1 0.500 0.500 0.500
I1 0.000 0.000 0.500
# **E**: -3.3156 eV per atom
# **E above lowest polymorph**: 0 meV/atom
# **Size of the total moment**: 0.00 μB/cell
# **Symmetry**: P4/mmm (123)


No. 3
# GaHWI2 GGA-PBEsol optimized geometry
data_GaHWI2
_chemical_formula_sum 'Ga1 H1 W1 I2'
_space_group_name_H-M_alt 'P 1'
_space_group_IT_number 1
_cell_length_a 5.264
_cell_length_b 5.264
_cell_length_c 3.546
_cell_angle_alpha 90.00
_cell_angle_beta 90.00
_cell_angle_gamma 90.00
loop_
_space_group_symop_operation_xyz
'x,y,z'
loop_
_atom_site_label
_atom_site_fract_x
_atom_site_fract_y
_atom_site_fract_z
Ga1 0.000 0.000 0.000
H1 0.500 0.500 0.500
W1 0.500 0.500 0.000
I1 0.000 0.500 0.500
I2 0.500 0.000 0.500
# **E**: -3.9470 eV per atom
# **Size of the total moment**: 1.81 μB/cell
# **Symmetry**: P4/mmm (123)


No. 4
# InGaH2 GGA-PBEsol optimized geometry
data_InGaH2
_chemical_formula_sum 'In4 Ga4 H8'
_space_group_name_H-M_alt 'P 1'
_space_group_IT_number 1
_cell_length_a 4.421
_cell_length_b 4.421
_cell_length_c 11.311
_cell_angle_alpha 90.00
_cell_angle_beta 90.00
_cell_angle_gamma 90.00
loop_
_space_group_symop_operation_xyz
'x,y,z'
loop_
_atom_site_label
_atom_site_fract_x
_atom_site_fract_y
_atom_site_fract_z
In1 0.000 0.250 0.375
In2 0.000 0.750 0.625
In3 0.500 0.250 0.125
In4 0.500 0.750 0.875
Ga1 0.000 0.250 0.875
Ga2 0.000 0.750 0.125
Ga3 0.500 0.250 0.625
Ga4 0.500 0.750 0.375
H1 0.000 0.000 0.000
H2 0.000 0.500 0.000
H3 0.250 0.250 0.750
H4 0.250 0.750 0.250
H5 0.500 0.000 0.500
H6 0.500 0.500 0.500
H7 0.750 0.250 0.750
H8 0.750 0.750 0.250
# **E**: -2.9165 eV per atom
# **Size of the total moment**: 0.00 μB/cell
# **Symmetry**: I4_1/amd (141)


No. 5
# GaHIr3 GGA-PBEsol optimized geometry
data_GaHIr3
_chemical_formula_sum 'Ga1 H1 Ir3'
_space_group_name_H-M_alt 'P 1'
_space_group_IT_number 1
_cell_length_a 4.498
_cell_length_b 4.498
_cell_length_c 4.498
_cell_angle_alpha 90.00
_cell_angle_beta 90.00
_cell_angle_gamma 90.00
loop_
_space_group_symop_operation_xyz
'x,y,z'
loop_
_atom_site_label
_atom_site_fract_x
_atom_site_fract_y
_atom_site_fract_z
Ga1 0.000 0.000 0.000
H1 0.500 0.500 0.500
Ir1 0.000 0.000 0.500
Ir2 0.000 0.500 0.000
Ir3 0.500 0.000 0.000
# **E**: -4.9987 eV per atom
# **Size of the total moment**: 1.30 μB/cell
# **Symmetry**: Pm-3m (221)


No. 6
# Ga2HIr GGA-PBEsol optimized geometry
data_Ga2HIr
_chemical_formula_sum 'Ga8 H4 Ir4'
_space_group_name_H-M_alt 'P 1'
_space_group_IT_number 1
_cell_length_a 4.650
_cell_length_b 4.650
_cell_length_c 10.511
_cell_angle_alpha 90.00
_cell_angle_beta 90.00
_cell_angle_gamma 90.00
loop_
_space_group_symop_operation_xyz
'x,y,z'
loop_
_atom_site_label
_atom_site_fract_x
_atom_site_fract_y
_atom_site_fract_z
Ga1 0.142 0.250 0.125
Ga2 0.250 0.642 0.375
Ga3 0.250 0.858 0.875
Ga4 0.358 0.250 0.625
Ga5 0.642 0.750 0.625
Ga6 0.750 0.142 0.875
Ga7 0.750 0.358 0.375
Ga8 0.858 0.750 0.125
H1 0.000 0.000 0.000
H2 0.000 0.500 0.250
H3 0.500 0.000 0.750
H4 0.500 0.500 0.500
Ir1 0.000 0.000 0.500
Ir2 0.000 0.500 0.750
Ir3 0.500 0.000 0.250
Ir4 0.500 0.500 0.000
# **E**: -4.5736 eV per atom
# **Size of the total moment**: 0.00 μB/cell
# **Symmetry**: I-42d (122)


No. 7
# KLaGa2H GGA-PBEsol optimized geometry
data_KLaGa2H
_chemical_formula_sum 'K1 La1 Ga2 H1'
_space_group_name_H-M_alt 'P 1'
_space_group_IT_number 1
_cell_length_a 5.577
_cell_length_b 5.577
_cell_length_c 4.087
_cell_angle_alpha 90.00
_cell_angle_beta 90.00
_cell_angle_gamma 90.00
loop_
_space_group_symop_operation_xyz
'x,y,z'
loop_
_atom_site_label
_atom_site_fract_x
_atom_site_fract_y
_atom_site_fract_z
K1 0.000 0.000 0.000
La1 0.500 0.500 0.500
Ga1 0.000 0.500 0.000
Ga2 0.500 0.000 0.000
H1 0.000 0.000 0.500
# **E**: -2.7476 eV per atom
# **Size of the total moment**: 0.00 μB/cell
# **Symmetry**: P4/mmm (123)


No. 8
# La2GaH2 GGA-PBEsol optimized geometry
data_La2GaH2
_chemical_formula_sum 'La4 Ga2 H4'
_space_group_name_H-M_alt 'P 1'
_space_group_IT_number 1
_cell_length_a 3.890
_cell_length_b 3.890
_cell_length_c 12.486
_cell_angle_alpha 90.00
_cell_angle_beta 90.00
_cell_angle_gamma 90.00
loop_
_space_group_symop_operation_xyz
'x,y,z'
loop_
_atom_site_label
_atom_site_fract_x
_atom_site_fract_y
_atom_site_fract_z
La1 0.000 0.000 0.142
La2 0.000 0.000 0.858
La3 0.500 0.500 0.358
La4 0.500 0.500 0.642
Ga1 0.000 0.000 0.500
Ga2 0.500 0.500 0.000
H1 0.000 0.500 0.250
H2 0.000 0.500 0.750
H3 0.500 0.000 0.250
H4 0.500 0.000 0.750
# **E**: -4.7337 eV per atom
# **Size of the total moment**: 0.00 μB/cell
# **Symmetry**: I4/mmm (139)


No. 9
# LaGa2H GGA-PBEsol optimized geometry
data_LaGa2H
_chemical_formula_sum 'La4 Ga8 H4'
_space_group_name_H-M_alt 'P 1'
_space_group_IT_number 1
_cell_length_a 6.844
_cell_length_b 6.844
_cell_length_c 6.844
_cell_angle_alpha 90.00
_cell_angle_beta 90.00
_cell_angle_gamma 90.00
loop_
_space_group_symop_operation_xyz
'x,y,z'
loop_
_atom_site_label
_atom_site_fract_x
_atom_site_fract_y
_atom_site_fract_z
La1 0.000 0.000 0.000
La2 0.000 0.500 0.500
La3 0.500 0.000 0.500
La4 0.500 0.500 0.000
Ga1 0.250 0.250 0.250
Ga2 0.250 0.250 0.750
Ga3 0.250 0.750 0.250
Ga4 0.250 0.750 0.750
Ga5 0.750 0.250 0.250
Ga6 0.750 0.250 0.750
Ga7 0.750 0.750 0.250
Ga8 0.750 0.750 0.750
H1 0.000 0.000 0.500
H2 0.000 0.500 0.000
H3 0.500 0.000 0.000
H4 0.500 0.500 0.500
# **E**: -3.5763 eV per atom
# **Size of the total moment**: 0.00 μB/cell
# **Symmetry**: Fm-3m (225)


No. 10
# LiGa3H GGA-PBEsol optimized geometry
data_LiGa3H
_chemical_formula_sum 'Li1 Ga3 H1'
_space_group_name_H-M_alt 'P 1'
_space_group_IT_number 1
_cell_length_a 4.164
_cell_length_b 4.164
_cell_length_c 4.164
_cell_angle_alpha 90.00
_cell_angle_beta 90.00
_cell_angle_gamma 90.00
loop_
_space_group_symop_operation_xyz
'x,y,z'
loop_
_atom_site_label
_atom_site_fract_x
_atom_site_fract_y
_atom_site_fract_z
Li1 0.000 0.000 0.000
Ga1 0.000 0.500 0.500
Ga2 0.500 0.000 0.500
Ga3 0.500 0.500 0.000
H1 0.500 0.500 0.500
# **E**: -2.9717 eV per atom
# **Size of the total moment**: 0.00 μB/cell
# **Symmetry**: Pm-3m (221)


No. 11
# LiGaH4 GGA-PBEsol optimized geometry
data_LiGaH4
_chemical_formula_sum 'Li2 Ga2 H8'
_space_group_name_H-M_alt 'P 1'
_space_group_IT_number 1
_cell_length_a 4.522
_cell_length_b 4.522
_cell_length_c 6.164
_cell_angle_alpha 90.00
_cell_angle_beta 90.00
_cell_angle_gamma 90.55
loop_
_space_group_symop_operation_xyz
'x,y,z'
loop_
_atom_site_label
_atom_site_fract_x
_atom_site_fract_y
_atom_site_fract_z
Li1 0.091 0.909 0.750
Li2 0.909 0.091 0.250
Ga1 0.336 0.664 0.250
Ga2 0.664 0.336 0.750
H1 0.178 0.822 0.049
H2 0.178 0.822 0.451
H3 0.275 0.320 0.250
H4 0.320 0.275 0.750
H5 0.680 0.725 0.250
H6 0.725 0.680 0.750
H7 0.822 0.178 0.549
H8 0.822 0.178 0.951
# **E**: -3.1729 eV per atom
# **Size of the total moment**: 0.00 μB/cell
# **Symmetry**: Cmcm (63)


No. 12
# Li2TaGaH GGA-PBEsol optimized geometry
data_Li2TaGaH
_chemical_formula_sum 'Li2 Ta1 Ga1 H1'
_space_group_name_H-M_alt 'P 1'
_space_group_IT_number 1
_cell_length_a 3.790
_cell_length_b 3.790
_cell_length_c 4.144
_cell_angle_alpha 90.00
_cell_angle_beta 90.00
_cell_angle_gamma 90.00
loop_
_space_group_symop_operation_xyz
'x,y,z'
loop_
_atom_site_label
_atom_site_fract_x
_atom_site_fract_y
_atom_site_fract_z
Li1 0.000 0.500 0.000
Li2 0.500 0.000 0.000
Ta1 0.000 0.000 0.500
Ga1 0.500 0.500 0.500
H1 0.000 0.000 0.000
# **E**: -4.7493 eV per atom
# **Size of the total moment**: 0.00 μB/cell
# **Symmetry**: P4/mmm (123)


Q: E of number 11 (LiGaH4)?
A: -3.1729 eV per atom


Q: Among the records above, which one has the highest size of the total moment?
A: GaHWI2